Entry 1:
The following is a PBE-GGA calculation of a relaxed Rb2HfOsF6 crystal, from the Alexandria database.

a b c (Å): 7.463 7.463 6.670
angles (deg): 55.98 55.98 90.00
Each line ends with the local moment (μB).
Fractional coordinates of all 10 atoms:
F (0.311, 0.689, 0.000)  0.00
F (0.311, 0.311, 0.000)  0.00
F (0.251, 0.251, 0.499)  0.02
F (0.749, 0.749, 0.501)  0.02
F (0.689, 0.311, 0.000)  0.00
F (0.689, 0.689, 0.000)  0.00
Rb (0.750, 0.250, 0.500)  0.00
Rb (0.250, 0.750, 0.500)  0.00
Hf (0.500, 0.500, 0.000)  -0.03
Os (0.000, 0.000, 0.000)  1.80

Values from the calculation:
As for the density of states at the Fermi level: 11.0 states/eV/cell. Its mass density is 4.778 g/cm³. The value obtained for the final energy is -5.6960 eV/atom. The value obtained for the uncorrected formation energy is -22.61 eV per formula unit. As for the magnetization: 2.00 μB/cell. Its space-group type is I4/mmm.

***

Entry 2:
The following is a PBE-GGA calculation of a relaxed Sc4BSe3 crystal, from the Alexandria database.

a b c (Å): 3.739 6.605 6.605
angles (deg): 108.94 90.00 90.00
Fractional coordinates of all 8 atoms:
B (0.500, 0.000, 0.000)
Sc (0.500, 0.776, 0.224)
Sc (0.500, 0.224, 0.776)
Sc (0.000, 0.215, 0.215)
Sc (0.000, 0.785, 0.785)
Se (0.500, 0.500, 0.500)
Se (0.000, 0.000, 0.500)
Se (0.000, 0.500, 0.000)

Values from the calculation:
As for the density of states at the Fermi level: 2.0 states/eV/cell. Its mass density is 4.601 g/cm³. The value obtained for the final energy is -6.6694 eV/atom. The value obtained for the uncorrected formation energy is -10.90 eV per formula unit. As for the magnetization: 0.00 μB/cell. Its space-group type is Cmmm.

***

Entry 3:
The following is a PBE-GGA calculation of a relaxed Nd2TlSb crystal, from the Alexandria database.

a b c (Å): 4.088 4.088 7.070
angles (deg): 90.00 90.00 90.00
Fractional coordinates of all 4 atoms:
Tl (0.500, 0.500, 0.500)
Sb (0.500, 0.500, 0.000)
Nd (0.000, 0.000, 0.239)
Nd (0.000, 0.000, 0.761)

Values from the calculation:
The value obtained for the energy relative to the lowest polymorph listed for this composition is 0.0843 eV/atom. As for the density of states at the Fermi level: 2.4 states/eV/cell. Its mass density is 8.639 g/cm³. The value obtained for the final energy is -4.6879 eV/atom. The value obtained for the uncorrected formation energy is -2.73 eV per formula unit. As for the magnetization: 0.00 μB/cell. Its space-group type is P4/mmm.

***

Entry 4:
The following is a PBE-GGA calculation of a relaxed Dy3YTh2P6 crystal, from the Alexandria database.

a b c (Å): 4.066 8.099 9.067
angles (deg): 102.80 102.96 90.00
Fractional coordinates of all 12 atoms:
P (0.335, 0.413, 0.669)
P (0.002, 0.750, 0.003)
P (0.667, 0.078, 0.333)
P (0.333, 0.922, 0.667)
P (0.998, 0.250, 0.997)
P (0.665, 0.587, 0.331)
Y (0.500, 0.000, 0.000)
Th (0.835, 0.670, 0.670)
Th (0.165, 0.330, 0.330)
Dy (0.500, 0.500, 0.000)
Dy (0.834, 0.166, 0.668)
Dy (0.166, 0.834, 0.332)

Values from the calculation:
As for the density of states at the Fermi level: 3.8 states/eV/cell. Its mass density is 7.186 g/cm³. The value obtained for the final energy is -7.2360 eV/atom. As for the magnetization: 0.00 μB/cell. Its space-group type is C2/m. For the energy of formation, the calculation gives -1605.2 meV per atom.

***

Entry 5:
The following is a PBE-GGA calculation of a relaxed CaDyAs2 crystal, from the Alexandria database.

a b c (Å): 4.129 4.129 7.415
angles (deg): 73.84 73.84 60.00
Fractional coordinates of all 4 atoms:
As (0.254, 0.254, 0.237)
As (0.746, 0.746, 0.763)
Ca (0.500, 0.500, 0.500)
Dy (0.000, 0.000, 0.000)

Values from the calculation:
The value obtained for the energy relative to the lowest polymorph listed for this composition is 0.0000 eV/atom. As for the density of states at the Fermi level: 3.1 states/eV/cell. Its mass density is 5.645 g/cm³. The value obtained for the final energy is -5.1685 eV/atom. As for the magnetization: 0.00 μB/cell. Its space-group type is R-3m. For the energy of formation, the calculation gives -1192.8 meV per atom.

***

Entry 6:
The following is a PBE-GGA calculation of a relaxed LaCr2Ag2 crystal, from the Alexandria database.

a b c (Å): 4.807 4.807 5.614
angles (deg): 64.65 64.65 90.00
Fractional coordinates of all 5 atoms:
Cr (0.599, 0.599, 0.802)
Cr (0.401, 0.401, 0.198)
Ag (0.750, 0.250, 0.500)
Ag (0.250, 0.750, 0.500)
La (0.000, 0.000, 0.000)

Values from the calculation:
The value obtained for the energy relative to the lowest polymorph listed for this composition is 0.0000 eV/atom. As for the density of states at the Fermi level: 5.1 states/eV/cell. Its mass density is 7.377 g/cm³. The value obtained for the final energy is -5.6178 eV/atom. As for the magnetization: 0.00 μB/cell. Its space-group type is I4/mmm. For the energy of formation, the calculation gives 357.6 meV per atom.

***

Entry 7:
The following is a PBE-GGA calculation of a relaxed HfV2H4 crystal, from the Alexandria database.

a b c (Å): 5.464 5.464 5.464
angles (deg): 120.61 120.61 88.95
Fractional coordinates of all 14 atoms:
V (0.375, 0.625, 0.250)
V (0.375, 0.125, 0.750)
V (0.375, 0.625, 0.750)
V (0.875, 0.625, 0.250)
H (0.629, 0.994, 0.000)
H (0.380, 0.879, 0.136)
H (0.744, 0.244, 0.864)
H (0.370, 0.371, 0.364)
H (0.756, 0.620, 0.500)
H (0.006, 0.006, 0.636)
H (0.994, 0.630, 0.000)
H (0.121, 0.256, 0.500)
Hf (0.750, 0.250, 0.500)
Hf (0.000, 0.000, 0.000)

Values from the calculation:
The value obtained for the energy relative to the lowest polymorph listed for this composition is 0.0000 eV/atom. As for the density of states at the Fermi level: 6.1 states/eV/cell. Its mass density is 8.267 g/cm³. The value obtained for the final energy is -6.2704 eV/atom. As for the magnetization: 0.00 μB/cell. Its space-group type is I4_1/a.

***

Entry 8:
The following is a PBE-GGA calculation of a relaxed KMgMn crystal, from the Alexandria database.

a b c (Å): 5.314 5.314 5.314
angles (deg): 60.00 60.00 60.00
Each line ends with the local moment (μB).
Fractional coordinates of all 3 atoms:
K (0.000, 0.000, 0.000)  0.00
Mn (0.750, 0.750, 0.750)  4.12
Mg (0.500, 0.500, 0.500)  -0.02

Values from the calculation:
The value obtained for the energy relative to the lowest polymorph listed for this composition is 0.3302 eV/atom. As for the density of states at the Fermi level: 3.6 states/eV/cell. Its mass density is 1.852 g/cm³. The value obtained for the final energy is -3.0327 eV/atom. As for the magnetization: 4.34 μB/cell. Its space-group type is F-43m. For the energy of formation, the calculation gives 921.2 meV per atom.

***

Entry 9:
The following is a PBE-GGA calculation of a relaxed PmTiRu2 crystal, from the Alexandria database.

a b c (Å): 3.285 4.663 4.663
angles (deg): 90.00 90.00 90.00
Fractional coordinates of all 4 atoms:
Pm (0.500, 0.500, 0.500)
Ti (0.500, 0.000, 0.000)
Ru (0.000, 0.500, 0.000)
Ru (0.000, 0.000, 0.500)

Values from the calculation:
The value obtained for the energy relative to the lowest polymorph listed for this composition is 0.1450 eV/atom. As for the density of states at the Fermi level: 2.9 states/eV/cell. Its mass density is 9.183 g/cm³. The value obtained for the final energy is -7.9980 eV/atom. As for the magnetization: 0.00 μB/cell. Its space-group type is P4/mmm. For the energy of formation, the calculation gives -198.7 meV per atom.

***

Entry 10:
The following is a PBE-GGA calculation of a relaxed NaBi2Br6 crystal, from the Alexandria database.

a b c (Å): 7.320 10.061 10.061
angles (deg): 91.53 83.68 83.68
Each line ends with the local moment (μB).
Fractional coordinates of all 18 atoms:
Br (0.841, 0.570, 0.701)  0.00
Br (0.398, 0.367, 0.907)  0.01
Br (0.159, 0.430, 0.299)  0.00
Br (0.626, 0.942, 0.810)  0.05
Br (0.602, 0.633, 0.093)  0.01
Br (0.126, 0.810, 0.942)  0.05
Br (0.102, 0.093, 0.633)  0.01
Br (0.874, 0.190, 0.058)  0.05
Br (0.374, 0.058, 0.190)  0.05
Br (0.659, 0.299, 0.430)  0.00
Br (0.341, 0.701, 0.570)  0.00
Br (0.898, 0.907, 0.367)  0.01
Bi (0.512, 0.344, 0.166)  0.27
Bi (0.488, 0.656, 0.834)  0.27
Bi (0.988, 0.834, 0.656)  0.27
Bi (0.012, 0.166, 0.344)  0.27
Na (0.750, 0.908, 0.092)  0.00
Na (0.250, 0.092, 0.908)  0.00

Values from the calculation:
The value obtained for the energy relative to the lowest polymorph listed for this composition is 0.0000 eV/atom. As for the density of states at the Fermi level: 5.2 states/eV/cell. Its mass density is 4.179 g/cm³. The value obtained for the final energy is -2.9038 eV/atom. The value obtained for the uncorrected formation energy is -7.02 eV per formula unit. As for the magnetization: 1.90 μB/cell. Its space-group type is C2/c.

***

Entry 11:
The following is a PBE-GGA calculation of a relaxed SrMg2Hg crystal, from the Alexandria database.

a b c (Å): 5.114 3.840 6.086
angles (deg): 77.98 90.00 90.00
Fractional coordinates of all 4 atoms:
Mg (0.000, 0.621, 0.531)
Mg (0.000, 0.879, 0.969)
Hg (0.500, 0.750, 0.750)
Sr (0.500, 0.250, 0.250)

Values from the calculation:
As for the density of states at the Fermi level: 2.4 states/eV/cell. Its mass density is 4.784 g/cm³. The value obtained for the final energy is -1.4424 eV/atom. As for the magnetization: 0.00 μB/cell. Its space-group type is P2/m. For the energy of formation, the calculation gives -149.2 meV per atom.

***

Entry 12:
The following is a PBE-GGA calculation of a relaxed Li2TbYTe4 crystal, from the Alexandria database.

a b c (Å): 4.353 7.533 7.495
angles (deg): 109.54 90.00 90.00
Fractional coordinates of all 8 atoms:
Te (0.000, 0.249, 0.744)
Te (0.000, 0.751, 0.256)
Te (0.500, 0.748, 0.744)
Te (0.500, 0.252, 0.256)
Y (0.500, 0.500, 0.000)
Li (0.500, 0.000, 0.500)
Li (0.000, 0.500, 0.500)
Tb (0.000, 0.000, 0.000)

Values from the calculation:
Its mass density is 5.535 g/cm³. The value obtained for the final energy is -4.7375 eV/atom. The value obtained for the uncorrected formation energy is -10.41 eV per formula unit. As for the magnetization: 0.00 μB/cell. Its space-group type is P2/m.

***

mass density of number 11 (SrMg2Hg)? 4.784 g/cm³

***

Which value of mass density does entry 8 give? 1.852 g/cm³